Na3Mn2P2C2O14, optimized geometry, DFT PBE+U; calculated density = 2.61 g cm⁻³; E above lowest polymorph = 8 meV/atom; D(E_F) = 5.4 states/eV per cell; E = -6.93 eV per atom
1.0
-4.7466 4.0876 1.9889
1.0793 -1.1618 4.9635
12.1300 13.5068 1.1893
Na Mn P C O
6 4 4 4 28
direct
0.2224 0.7598 0.8794
0.7440 0.2342 0.6176
0.2660 0.2384 0.6133
0.7776 0.7598 0.3794
0.7340 0.2384 0.1133
0.2560 0.2342 0.1176
0.5153 0.2122 0.8260
0.0127 0.7833 0.6782
0.4847 0.2122 0.3260
0.9873 0.7833 0.1782
0.0118 0.2838 0.7868
0.5073 0.7203 0.7150
0.9882 0.2838 0.2868
0.4927 0.7203 0.2150
0.4978 0.2795 0.9576
0.9931 0.7211 0.5443
0.5022 0.2795 0.4576
0.0069 0.7211 0.0443
0.0244 0.6935 0.9779
0.5042 0.0535 0.9278
0.5018 0.4667 0.9071
0.1966 0.2056 0.8355
0.8208 0.2104 0.8315
0.0236 0.5805 0.7695
0.4909 0.8599 0.7882
0.0175 0.1486 0.7118
0.5096 0.4211 0.7312
0.6985 0.8009 0.6706
0.3253 0.7880 0.6636
0.0021 0.5298 0.5946
0.0038 0.9459 0.5767
0.5104 0.3119 0.5254
0.9756 0.6935 0.4779
0.4958 0.0535 0.4278
0.4982 0.4667 0.4071
0.1792 0.2104 0.3315
0.8034 0.2056 0.3355
0.9764 0.5805 0.2695
0.5091 0.8599 0.2882
0.9825 0.1486 0.2118
0.4904 0.4211 0.2312
0.6747 0.7880 0.1636
0.3015 0.8009 0.1706
0.9979 0.5298 0.0946
0.9962 0.9459 0.0767
0.4896 0.3119 0.0254